No. 1
Here is Ca2MgTc after structural relaxation from Alexandria. Energies are from PBE.

Computed properties:
energy of formation from the pure elements	0.35	eV/atom
raw total energy	-3.639	eV/atom
DOS(E_F)	4.6	states/eV per cell
crystal system	tetragonal

Cell lengths 3.5615, 3.5615, 8.3111 Å; angles 90.00, 90.00, 90.00 degrees
Last column: magnetic moment on the atom in μB.
Positions (direct):
1 Ca 0.0000 0.0000 0.9290  -0.01
2 Ca 0.5000 0.5000 0.3068  -0.02
3 Mg 0.0000 0.0000 0.5651  -0.01
4 Tc 0.5000 0.5000 0.6990  1.11

No. 2
Here is Ac2DyHo after structural relaxation from Alexandria. Energies are from PBE.

Computed properties:
energy of formation from the pure elements	0.08	eV/atom
raw total energy	-4.272	eV/atom
DOS(E_F)	6.1	states/eV per cell
crystal system	trigonal

Cell lengths 3.7918, 3.7918, 12.2440 Å; angles 81.09, 81.09, 60.00 degrees
Positions (direct):
1 Ac 0.0836 0.0836 0.7493
2 Ac 0.2495 0.2495 0.2515
3 Dy 0.6678 0.6678 0.9967
4 Ho 0.4992 0.4992 0.5025

No. 3
Here is BiAs2S after structural relaxation from Alexandria. Energies are from PBE.

Computed properties:
raw total energy	-3.860	eV/atom
DOS(E_F)	2.3	states/eV per cell
crystal system	cubic

Cell lengths 4.9506, 4.9506, 4.9506 Å; angles 60.00, 60.00, 60.00 degrees
Positions (direct):
1 S 0.0000 0.0000 0.0000
2 As 0.2500 0.2500 0.2500
3 As 0.7500 0.7500 0.7500
4 Bi 0.5000 0.5000 0.5000

No. 4
Here is Mg2OsS2 after structural relaxation from Alexandria. Energies are from PBE.

Computed properties:
raw total energy	-4.073	eV/atom
DOS(E_F)	3.6	states/eV per cell
crystal system	tetragonal

Cell lengths 4.3031, 4.3031, 6.5008 Å; angles 70.67, 70.67, 90.00 degrees
Last column: magnetic moment on the atom in μB.
Positions (direct):
1 S 0.3576 0.3576 0.2848  0.10
2 S 0.6424 0.6424 0.7152  0.10
3 Os 0.0000 0.0000 0.0000  3.09
4 Mg 0.7500 0.2500 0.5000  0.01
5 Mg 0.2500 0.7500 0.5000  0.01